Li2AcInCl8: optimized geometry, PBE.

Results
Formation energy from raw total energies   -165.7 kJ/mol of atoms
N(E_F)   0.00 states/eV per cell

a b c (Å): 6.2832 6.3290 8.4215
angles (deg): 85.75 85.05 88.70
With the nearest neighbours (Å) after each atom.
Space group P-1 (No. 2)
Inequivalent atoms, fractional coordinates:
Li1 0.0600 0.0498 0.2754 x2  5 Cl 2.44-2.71
Ac1 0.5000 0.5000 0.5000 x1  6 Cl 2.86-2.92
In1 0.5000 0.5000 0.0000 x1  6 Cl 2.44-2.65
Cl1 0.1999 0.1638 0.5157 x2  2 Li 2.44-2.62
Cl2 0.2484 0.2080 0.0259 x2  1 In 2.44, 1 Li 2.48
Cl3 0.2746 0.6865 0.2329 x2  1 In 2.65, 1 Li 2.67, 1 Ac 2.92
Cl4 0.2783 0.6888 0.7747 x2  1 In 2.65, 1 Li 2.71, 1 Ac 2.92